LiCa3In (PBE, relaxed); E = -2.06 eV/atom; total magnetic moment = 0.000 μB per atom; D(E_F) = 0.24 states/eV per atom; excess energy over the best structure of this formula in the dataset = 0.302 eV/atom
1.0
-2.2953 4.3230 -3.5688
-5.0555 0.0699 3.3362
2.4221 4.2427 3.5814
Ca In Li
3 1 1
direct
0.0000 0.0000 0.5000 Ca
0.5000 0.0000 0.0000 Ca
0.0000 0.5000 0.0000 Ca
0.0000 0.0000 0.0000 In
0.5000 0.5000 0.5000 Li

---

TaTlNi2 (PBE, relaxed); E = -6.06 eV/atom; total magnetic moment = 0.000 μB per atom; D(E_F) = 0.50 states/eV per atom; excess energy over the best structure of this formula in the dataset = 0.366 eV/atom
1.0
-0.0057 -3.1397 3.1546
0.3254 -4.2922 -1.1316
3.7274 -2.2612 0.8959
Ta Ni Tl
1 2 1
direct
0.5000 0.5000 0.5000 Ta
0.2500 0.2500 0.2500 Ni
0.0000 0.0000 0.0000 Ni
0.7500 0.7500 0.7500 Tl

---

Ca2Al2CdPt5 (PBE, relaxed); E = -5.10 eV/atom; total magnetic moment = 0.000 μB per atom; D(E_F) = 0.34 states/eV per atom
1.0
-3.1296 -0.3803 -1.9093
2.4977 -9.3607 -2.2294
-4.6190 -3.1869 8.2060
Pt Cd Ca Al
10 2 4 4
direct
0.5000 0.0000 0.5000 Pt
0.5000 0.7117 0.4334 Pt
0.5000 0.9334 0.2117 Pt
0.5000 0.2883 0.5666 Pt
0.5000 0.7883 0.9334 Pt
0.5000 0.2117 0.0666 Pt
0.5000 0.5000 0.0000 Pt
0.5000 0.4334 0.2883 Pt
0.5000 0.5666 0.7117 Pt
0.5000 0.0666 0.7883 Pt
0.0000 0.5000 0.5000 Cd
0.0000 0.0000 0.0000 Cd
0.0000 0.1764 0.3236 Ca
0.0000 0.6764 0.1764 Ca
0.0000 0.3236 0.8236 Ca
0.0000 0.8236 0.6764 Ca
0.0000 0.6221 0.8779 Al
0.0000 0.3779 0.1221 Al
0.0000 0.1221 0.6221 Al
0.0000 0.8779 0.3779 Al

---

PuPaTcAu (PBE, relaxed); E = -9.59 eV/atom; total magnetic moment = 1.377 μB per atom; D(E_F) = 2.05 states/eV per atom; excess energy over the best structure of this formula in the dataset = 0.000 eV/atom
1.0
3.2752 0.0000 0.0000
0.0000 3.2752 0.0000
0.0000 0.0000 8.0405
Pa Au Tc Pu
1 1 1 1
direct
0.5000 0.5000 0.3508 Pa
0.0000 0.0000 0.0704 Au
0.0000 0.0000 0.5652 Tc
0.5000 0.5000 0.7982 Pu